Below is crystalline LaPa2NiN4 at its relaxed geometry, with properties calculated at the PBE level.

Cell: 6.0368 6.0368 11.4828 Å, 90.00 90.00 146.00°
Fractional positions:
La1 0.1032 0.8968 0.7500
La2 0.8968 0.1032 0.2500
Pa1 0.3683 0.6317 0.5600
Pa2 0.3683 0.6317 0.9400
Pa3 0.6317 0.3683 0.0600
Pa4 0.6317 0.3683 0.4400
Ni1 0.1650 0.8350 0.2500
Ni2 0.8350 0.1650 0.7500
N1 0.0000 0.0000 0.0000
N2 0.0000 0.0000 0.5000
N3 0.2676 0.7324 0.1098
N4 0.2676 0.7324 0.3902
N5 0.4404 0.5596 0.7500
N6 0.5596 0.4404 0.2500
N7 0.7324 0.2676 0.6098
N8 0.7324 0.2676 0.8902

Properties
total magnetization	0.00	μB per formula unit
energy relative to the elements, uncorrected	-1387	meV per atom

Below is crystalline LaPaNiN3 at its relaxed geometry, with properties calculated at the PBE level.

Cell: 7.2414 3.5118 7.3674 Å, 90.00 101.86 90.00°
Fractional positions:
La1 0.2236 0.2500 0.1799
La2 0.7764 0.7500 0.8201
Pa1 0.1786 0.2500 0.6656
Pa2 0.8214 0.7500 0.3344
Ni1 0.4193 0.7500 0.9098
Ni2 0.5807 0.2500 0.0902
N1 0.1305 0.7500 0.8591
N2 0.1441 0.7500 0.4436
N3 0.4966 0.7500 0.1874
N4 0.5034 0.2500 0.8126
N5 0.8559 0.2500 0.5564
N6 0.8695 0.2500 0.1409

Properties
total magnetization	0.00	μB per formula unit
energy relative to the elements, uncorrected	-1102	meV per atom

Below is crystalline La6NiPb2N at its relaxed geometry, with properties calculated at the PBE level.

Cell: 7.4697 7.4610 7.5648 Å, 59.62 59.50 60.88°
Fractional positions:
La1 0.0000 0.0000 0.0000
La2 0.0084 0.4821 0.9916
La3 0.0091 0.4811 0.5189
La4 0.4811 0.0091 0.9909
La5 0.4821 0.0084 0.5179
La6 0.4942 0.4942 0.5058
Ni1 0.7486 0.7486 0.2514
Pb1 0.4955 0.4955 0.0045
Pb2 0.9955 0.9955 0.5045
N1 0.2520 0.2520 0.7480

Properties
total magnetization	0.00	μB per formula unit
energy relative to the elements, uncorrected	-589	meV per atom

Below is crystalline LaPu2NiN4 at its relaxed geometry, with properties calculated at the PBE level.

Cell: 5.9279 5.9279 11.4597 Å, 90.00 90.00 145.90°
Fractional positions:
La1 0.1008 0.8992 0.7500
La2 0.8992 0.1008 0.2500
Pu1 0.3690 0.6310 0.5570
Pu2 0.3690 0.6310 0.9430
Pu3 0.6310 0.3690 0.0570
Pu4 0.6310 0.3690 0.4430
Ni1 0.1654 0.8346 0.2500
Ni2 0.8346 0.1654 0.7500
N1 0.0000 0.0000 0.0000
N2 0.0000 0.0000 0.5000
N3 0.2613 0.7387 0.1089
N4 0.2613 0.7387 0.3911
N5 0.4353 0.5647 0.7500
N6 0.5647 0.4353 0.2500
N7 0.7387 0.2613 0.6089
N8 0.7387 0.2613 0.8911

Properties
total magnetization	7.00	μB per formula unit
energy relative to the elements, uncorrected	-1081	meV per atom

Among the records above, which one has the lowest energy relative to the elements, uncorrected?
LaPa2NiN4

Look up the total magnetization of the third one.
0.00 μB per formula unit

Among the records above, which one has the lowest energy relative to the elements, uncorrected?
LaPa2NiN4

Among the records above, which one has the lowest energy relative to the elements, uncorrected?
LaPa2NiN4